1.
Entry from Alexandria via LeMat-Bulk: K2CuTe3 after structural relaxation (PBE).

The electronic total energy is -76.52 eV per cell. As for the calculated density: 4.17 Mg/m³. For the raw formation energy, the calculation gives -569 meV per atom.

Cell: 8.023 4.161 25.015 Å, 90.00 90.00 90.00°
Positions (direct):
K (0.155, 0.250, 0.070)
K (0.236, 0.750, 0.806)
K (0.264, 0.250, 0.306)
K (0.345, 0.750, 0.570)
K (0.655, 0.250, 0.430)
K (0.736, 0.750, 0.694)
K (0.764, 0.250, 0.194)
K (0.845, 0.750, 0.930)
Cu (0.021, 0.750, 0.469)
Cu (0.479, 0.250, 0.969)
Cu (0.521, 0.750, 0.031)
Cu (0.979, 0.250, 0.531)
Te (0.058, 0.250, 0.636)
Te (0.145, 0.750, 0.194)
Te (0.217, 0.250, 0.458)
Te (0.283, 0.750, 0.958)
Te (0.355, 0.250, 0.694)
Te (0.442, 0.750, 0.136)
Te (0.558, 0.250, 0.864)
Te (0.645, 0.750, 0.306)
Te (0.717, 0.250, 0.042)
Te (0.783, 0.750, 0.542)
Te (0.855, 0.250, 0.806)
Te (0.942, 0.750, 0.364)



2.
Entry from Alexandria via LeMat-Bulk: HgIrRu after structural relaxation (PBE).

The electronic total energy is -16.06 eV per cell. Its formation energy is 2.4 eV/f.u. As for the calculated density: 14.22 Mg/m³.

Cell: 4.337 4.337 4.337 Å, 60.00 60.00 60.00°
Positions (direct):
Hg (0.000, 0.000, 0.000)
Ir (0.250, 0.250, 0.250)
Ru (0.500, 0.500, 0.500)



3.
Entry from Alexandria via LeMat-Bulk: ReSeCl2 after structural relaxation (PBE).

The electronic total energy is -18.08 eV per cell. As for the calculated density: 6.17 Mg/m³. For the raw formation energy, the calculation gives 387 meV per atom.

Cell: 3.294 3.294 10.185 Å, 90.00 90.00 125.04°
Positions (direct):
Re (0.000, 0.000, 0.000)
Se (0.500, 0.500, 0.182)
Cl (0.000, 0.000, 0.480)
Cl (0.500, 0.500, 0.811)



4.
Entry from Alexandria via LeMat-Bulk: Li2CaThCl8 after structural relaxation (PBE).

The electronic total energy is -53.00 eV per cell. As for the calculated density: 2.60 Mg/m³. For the raw formation energy, the calculation gives -2081 meV per atom.

Cell: 6.660 6.845 8.462 Å, 105.34 90.00 101.65°
Positions (direct):
Li (0.046, 0.369, 0.327)
Li (0.954, 0.631, 0.673)
Ca (0.500, 0.000, 0.500)
Th (0.500, 0.000, 0.000)
Cl (0.135, 0.729, 0.457)
Cl (0.136, 0.741, 0.935)
Cl (0.363, 0.217, 0.289)
Cl (0.387, 0.216, 0.803)
Cl (0.613, 0.784, 0.197)
Cl (0.637, 0.783, 0.711)
Cl (0.864, 0.259, 0.065)
Cl (0.865, 0.271, 0.543)



5.
Entry from Alexandria via LeMat-Bulk: Li2La3Pd6 after structural relaxation (PBE).

The electronic total energy is -114.98 eV per cell. Its formation energy is -7.7 eV/f.u. As for the calculated density: 7.70 Mg/m³.

Cell: 8.428 8.428 8.428 Å, 109.47 109.47 109.47°
Positions (direct):
Li (0.000, 0.000, 0.500)
Li (0.000, 0.500, 0.000)
Li (0.500, 0.000, 0.000)
Li (0.500, 0.500, 0.500)
La (0.000, 0.306, 0.306)
La (0.000, 0.694, 0.694)
La (0.306, 0.000, 0.306)
La (0.306, 0.306, 0.000)
La (0.694, 0.000, 0.694)
La (0.694, 0.694, 0.000)
Pd (0.000, 0.335, 0.665)
Pd (0.000, 0.665, 0.335)
Pd (0.330, 0.665, 0.665)
Pd (0.335, 0.000, 0.665)
Pd (0.335, 0.335, 0.670)
Pd (0.335, 0.665, 0.000)
Pd (0.335, 0.670, 0.335)
Pd (0.665, 0.000, 0.335)
Pd (0.665, 0.330, 0.665)
Pd (0.665, 0.335, 0.000)
Pd (0.665, 0.665, 0.330)
Pd (0.670, 0.335, 0.335)



6.
Entry from Alexandria via LeMat-Bulk: DyCdRhAu after structural relaxation (PBE).

The electronic total energy is -18.39 eV per cell. Its formation energy is -2.2 eV/f.u. As for the calculated density: 12.06 Mg/m³.

Cell: 4.820 4.820 4.820 Å, 60.00 60.00 60.00°
Positions (direct):
Dy (0.000, 0.000, 0.000)
Cd (0.500, 0.500, 0.500)
Rh (0.750, 0.750, 0.750)
Au (0.250, 0.250, 0.250)



7.
Entry from Alexandria via LeMat-Bulk: Zr4W after structural relaxation (PBE).

The electronic total energy is -43.10 eV per cell. Its formation energy is 4.0 eV/f.u. As for the calculated density: 7.11 Mg/m³.

Cell: 5.502 5.502 5.502 Å, 109.47 109.47 109.47°
Positions (direct):
Zr (0.000, 0.000, 0.500)
Zr (0.000, 0.500, 0.000)
Zr (0.500, 0.000, 0.000)
Zr (0.500, 0.500, 0.500)
W (0.000, 0.000, 0.000)



8.
Entry from Alexandria via LeMat-Bulk: La2TlRhO6 after structural relaxation (PBE).

The electronic total energy is -139.95 eV per cell. As for the calculated density: 7.96 Mg/m³. For the raw formation energy, the calculation gives -2065 meV per atom.

Cell: 5.699 6.078 9.914 Å, 90.00 124.10 90.00°
Positions (direct):
La (0.228, 0.068, 0.251)
La (0.228, 0.432, 0.751)
La (0.772, 0.568, 0.249)
La (0.772, 0.932, 0.749)
Tl (0.500, 0.000, 0.000)
Tl (0.500, 0.500, 0.500)
Rh (0.000, 0.000, 0.500)
Rh (0.000, 0.500, 0.000)
O (0.104, 0.210, 0.932)
O (0.104, 0.290, 0.432)
O (0.241, 0.683, 0.941)
O (0.241, 0.817, 0.441)
O (0.358, 0.051, 0.734)
O (0.358, 0.449, 0.234)
O (0.642, 0.551, 0.766)
O (0.642, 0.949, 0.266)
O (0.759, 0.183, 0.559)
O (0.759, 0.317, 0.059)
O (0.896, 0.710, 0.568)
O (0.896, 0.790, 0.068)



- Which of these has the lowest electronic total energy?
  La2TlRhO6